VASP calculation (PBE) on SiOsW2 after structural relaxation.

Computed properties:
As for the magnetic moment: 0.00 μB per formula unit. The uncorrected energy is -42.6 eV/f.u. The density is 16.6 g/cm³. The calculation puts the uncorrected formation energy at -4 meV/atom.

Cell lengths 2.855, 2.855, 7.211 Å; angles 90.00, 90.00, 90.00 degrees
Element x y z (fractional)
Si 0.000 0.000 0.000
Os 0.000 0.000 0.500
W 0.500 0.500 0.241
W 0.500 0.500 0.759